VASP calculation (GGA-PBE) on NaTbMgS3 after structural relaxation.

Cell: 14.2010 4.0140 11.1251 Å, 90.00 90.00 90.00°
Closest atoms and distances in Å follow each position.
Positions (direct):
Na 0.2127 0.2500 0.2040  5 S 2.87-2.97
Na 0.2873 0.7500 0.7040  5 S 2.87-2.97
Na 0.7127 0.2500 0.2960  5 S 2.87-2.97
Na 0.7873 0.7500 0.7960  5 S 2.87-2.97
Tb 0.0375 0.7500 0.8553  6 S 2.68-2.93
Tb 0.4625 0.2500 0.3553  6 S 2.68-2.93
Tb 0.5375 0.7500 0.6447  6 S 2.68-2.93
Tb 0.9625 0.2500 0.1447  6 S 2.68-2.93
Mg 0.0365 0.2500 0.5963  4 S 2.42-2.47
Mg 0.4635 0.7500 0.0963  4 S 2.42-2.47
Mg 0.5365 0.2500 0.9037  4 S 2.42-2.47
Mg 0.9635 0.7500 0.4037  4 S 2.42-2.47
S 0.0604 0.2500 0.3764  3 Mg 2.45-2.47
S 0.0889 0.7500 0.0874  3 Tb 2.68-2.77, 2 Na 2.97
S 0.1494 0.2500 0.7594  1 Mg 2.42
S 0.3506 0.7500 0.2594  1 Mg 2.42
S 0.4111 0.2500 0.5874  3 Tb 2.68-2.77, 2 Na 2.97
S 0.4396 0.7500 0.8764  3 Mg 2.45-2.47
S 0.5604 0.2500 0.1236  3 Mg 2.45-2.47
S 0.5889 0.7500 0.4126  3 Tb 2.68-2.77, 2 Na 2.97
S 0.6494 0.2500 0.7406  1 Mg 2.42
S 0.8506 0.7500 0.2406  1 Mg 2.42
S 0.9111 0.2500 0.9126  3 Tb 2.68-2.77, 2 Na 2.97
S 0.9396 0.7500 0.6236  3 Mg 2.45-2.47

Results
Relative energy among the computed polymorphs   0.0 meV/atom

---

VASP calculation (GGA-PBE) on PuReSn after structural relaxation.

Cell: 4.6432 4.6432 4.6432 Å, 60.00 60.00 60.00°
Closest atoms and distances in Å follow each position.
Positions (direct):
Pu 0.0000 0.0000 0.0000  4 Re 2.84
Re 0.7500 0.7500 0.7500  4 Sn 2.84, 4 Pu 2.84
Sn 0.5000 0.5000 0.5000  4 Re 2.84

---

VASP calculation (GGA-PBE) on LuCo2 after structural relaxation.

Cell: 4.9777 4.9777 4.9777 Å, 60.00 60.00 60.00°
Closest atoms and distances in Å follow each position.
Positions (direct):
Lu 0.1250 0.1250 0.1250  12 Co 2.92, 4 Lu 3.05
Lu 0.8750 0.8750 0.8750  12 Co 2.92, 4 Lu 3.05
Co 0.0000 0.5000 0.5000  6 Co 2.49
Co 0.5000 0.0000 0.5000  6 Co 2.49
Co 0.5000 0.5000 0.0000  6 Co 2.49
Co 0.5000 0.5000 0.5000  6 Co 2.49

Results
Formation energy from the elements   -287 meV/atom

---

VASP calculation (GGA-PBE) on Tb2DyCd3Ga3 after structural relaxation.

Cell: 4.4194 7.2692 7.2692 Å, 119.94 90.00 90.00°
Closest atoms and distances in Å follow each position.
Positions (direct):
Tb 0.0000 0.2127 0.7873  5 Ga 3.10, 2 Cd 3.24
Tb 0.0000 0.7873 0.2127  5 Ga 3.10, 2 Cd 3.24
Dy 0.0000 0.6382 0.6382  5 Ga 3.09, 2 Cd 3.24
Cd 0.5000 0.2129 0.4613  4 Ga 2.78-2.85
Cd 0.5000 0.4613 0.2129  4 Ga 2.78-2.85
Cd 0.5000 0.9644 0.9644  4 Ga 2.78-2.86
Ga 0.0000 0.2135 0.2135  6 Cd 2.85-2.86, 1 Dy 3.09, 2 Tb 3.10
Ga 0.5000 0.5465 0.8791  3 Cd 2.78-2.79, 2 Dy 3.09, 4 Tb 3.10
Ga 0.5000 0.8791 0.5465  3 Cd 2.78-2.79, 2 Dy 3.09, 4 Tb 3.10

---

VASP calculation (GGA-PBE) on LuCoCuGe after structural relaxation.

Cell: 4.3997 4.3997 4.3997 Å, 60.00 60.00 60.00°
Closest atoms and distances in Å follow each position.
Positions (direct):
Lu 0.0000 0.0000 0.0000  4 Co 2.69, 4 Cu 2.69
Co 0.7500 0.7500 0.7500  4 Ge 2.69, 4 Lu 2.69
Cu 0.2500 0.2500 0.2500  4 Ge 2.69, 4 Lu 2.69
Ge 0.5000 0.5000 0.5000  4 Co 2.69, 4 Cu 2.69

Results
Relative energy among the computed polymorphs   0.0 meV/atom

---

VASP calculation (GGA-PBE) on BaIn6Pt4 after structural relaxation.

Cell: 7.9037 7.9037 4.4708 Å, 90.00 90.00 120.00°
Closest atoms and distances in Å follow each position.
Positions (direct):
Ba 0.0000 0.0000 0.0000  6 In 3.50, 6 Pt 3.63
In 0.1969 0.3938 0.5000  4 Pt 2.78-2.91
In 0.1969 0.8031 0.5000  4 Pt 2.78-2.91
In 0.5343 0.0686 0.0000  5 Pt 2.75-2.84
In 0.5343 0.4657 0.0000  5 Pt 2.75-2.84
In 0.6062 0.8031 0.5000  4 Pt 2.78-2.91
In 0.9314 0.4657 0.0000  5 Pt 2.75-2.84
Pt 0.3333 0.6667 0.0000  9 In 2.75-2.91
Pt 0.4186 0.2093 0.5000  6 In 2.78-2.84, 2 Pt 2.94
Pt 0.7907 0.2093 0.5000  6 In 2.78-2.84, 2 Pt 2.94
Pt 0.7907 0.5814 0.5000  6 In 2.78-2.84, 2 Pt 2.94

---

Number 1: uncorrected energy -4.9332 eV per atom. Number 2: uncorrected energy -9.9446 eV per atom. Number 3: uncorrected energy -6.5327 eV per atom. Number 4: uncorrected energy -3.3759 eV per atom. Number 5: uncorrected energy -5.2389 eV per atom. Number 6: uncorrected energy -4.4492 eV per atom.